No. 1
A relaxed structure of Dy2PaO, computed with PBE.

The value obtained for the uncorrected formation energy is -1.068 eV/atom.

The structure belongs to space group R-3m (No. 166, hexagonal axes); the cell edges are 3.2902, 3.2902 and 28.0578 Å and the angles 90.00°, 90.00° and 120.00°. Symmetry generates all atoms from Dy at (0.0000, 0.0000, 0.1153), Pa at (0.0000, 0.0000, 0.0000) and O at (0.0000, 0.0000, 0.5000).

=====

No. 2
A relaxed structure of PrCu3PdPt, computed with PBE.

For the formation energy, the calculation gives -0.287 eV per atom.

The structure belongs to space group Cmcm (No. 63); the cell edges are 5.890, 12.812 and 5.536 Å and the angles 90.00°, 90.00° and 90.00°. Symmetry generates all atoms from Pr at (0.000, 0.204, 0.250), Cu at (0.000, 0.370, 0.750), Cu at (0.203, 0.000, 0.000), Pd at (0.000, 0.413, 0.250) and Pt at (0.000, 0.155, 0.750).

=====

No. 3
A relaxed structure of LaCu2Os2, computed with PBE.

For the formation energy, the calculation gives 0.247 eV per atom.

The structure belongs to space group I4/mmm (No. 139); the cell edges are 4.303, 4.303 and 10.043 Å and the angles 90.00°, 90.00° and 90.00°. Symmetry generates all atoms from La at (0.000, 0.000, 0.000), Cu at (0.000, 0.500, 0.250) and Os at (0.000, 0.000, 0.386).

=====

No. 4
A relaxed structure of Ce2AlCd3, computed with PBE.

For the formation energy, the calculation gives -0.132 eV per atom.

The structure belongs to space group Imm2 (No. 44); the cell edges are 3.476, 5.082 and 17.426 Å and the angles 90.00°, 90.00° and 90.00°. Symmetry generates all atoms from Ce at (0.000, 0.000, 0.000), Ce at (0.000, 0.500, 0.272), Al at (0.000, 0.000, 0.449), Cd at (0.000, 0.000, 0.603), Cd at (0.000, 0.500, 0.674) and Cd at (0.000, 0.500, 0.837).

=====

No. 5
A relaxed structure of La8ZnIr3Br4, computed with PBE.

The value obtained for the uncorrected formation energy is -1.105 eV/atom.

The structure belongs to space group R-3m (No. 166, hexagonal axes); the cell edges are 8.5310, 8.5310 and 23.6428 Å and the angles 90.00°, 90.00° and 120.00°. Symmetry generates all atoms from La at (0.0000, 0.0000, 0.2331), La at (0.0155, 0.5078, 0.7675), Zn at (0.0000, 0.0000, 0.5000), Ir at (0.0000, 0.5000, 0.5000), Br at (0.0000, 0.0000, 0.0000) and Br at (0.0000, 0.5000, 0.0000).

=====

No. 6
A relaxed structure of Li3LaGa3, computed with PBE.

For the formation energy, the calculation gives -0.277 eV per atom. Its distance to the lowest polymorph of the same formula is 52 meV per atom.

The structure belongs to space group R-3 (No. 148, hexagonal axes); the cell edges are 8.0499, 8.0499 and 14.8004 Å and the angles 90.00°, 90.00° and 120.00°. Symmetry generates all atoms from Li at (0.0202, 0.2299, 0.4383), La at (0.0000, 0.0000, 0.1938) and Ga at (0.0089, 0.7097, 0.0432).

=====

The records above yield E values of -6.98; -5.00; -6.87; -3.19; -5.73; -3.10 eV per atom, respectively.